Density functional theory data (PBE-GGA) for a relaxed structure of Sr4DyHg5.

Geometry as CIF:
```
data_Sr4DyHg5
_chemical_formula_sum 'Sr4 Dy1 Hg5'
_symmetry_space_group_name_H-M 'P 4/m m m'
_symmetry_Int_Tables_number 123
_symmetry_space_group_name_Hall '-P 4 2'
_cell_length_a 3.921
_cell_length_b 3.921
_cell_length_c 19.867
_cell_angle_alpha 90.00
_cell_angle_beta 90.00
_cell_angle_gamma 90.00
loop_
_atom_site_label
_atom_site_fract_x
_atom_site_fract_y
_atom_site_fract_z
_atom_site_occupancy
Sr1 0.000 0.000 0.103 1
Sr2 0.000 0.000 0.309 1
Dy1 0.000 0.000 0.500 1
Hg1 0.500 0.500 0.000 1
Hg2 0.500 0.500 0.205 1
Hg3 0.500 0.500 0.416 1
```

Values from the calculation:
The value obtained for the total energy is -18.0 eV for the cell shown. As for the crystal system: tetragonal. The value obtained for the formation energy is -5.2 eV per formula unit.